[1]
HfCd2RuI | GGA-PBE | optimized geometry

```
HfCd2RuI
1.0
5.354 0.000 0.000
0.000 5.211 0.000
0.000 0.000 5.354
I Ru Hf Cd
1 1 1 2
direct
0.000 0.000 0.000
0.500 0.500 0.500
0.000 0.500 0.000
0.000 0.000 0.500
0.500 0.000 0.000
```

Calculated values
* SG: P4/mmm
* E_form (uncorrected): 1903 meV per atom

[2]
Tl2GeI2Cl2 | GGA-PBE | optimized geometry

```
Tl2GeI2Cl2
1.0
5.241 0.000 0.000
0.000 5.241 0.000
-2.620 -2.620 8.972
Tl Ge I Cl
2 1 2 2
direct
0.364 0.364 0.729
0.636 0.636 0.271
0.000 0.000 0.000
0.169 0.169 0.338
0.831 0.831 0.662
0.000 0.500 0.000
0.500 0.000 0.000
```

Calculated values
* SG: I4/mmm
* E_form (uncorrected): -720 meV per atom

[3]
ScGaAu4 | GGA-PBE | optimized geometry

```
ScGaAu4
1.0
-0.571 0.087 4.216
-1.914 -3.798 -0.181
6.168 -3.150 0.900
Sc Ga Au
1 1 4
direct
0.501 0.497 0.998
0.001 0.997 0.498
0.501 0.997 0.265
0.501 0.997 0.731
0.001 0.497 0.731
0.001 0.497 0.265
```

Calculated values
* raw total energy: -4.02 eV per atom
* SG: P4/mmm

[4]
SrNd2Th | GGA-PBE | optimized geometry

```
SrNd2Th
1.0
-0.615 0.652 3.565
0.895 -2.530 2.513
11.892 4.617 3.102
Sr Nd Th
1 2 1
direct
0.000 0.000 0.000
0.094 0.094 0.719
0.906 0.906 0.281
0.500 0.500 0.500
```

Calculated values
* SG: R-3m
* distance to the lowest polymorph of the same formula: 0.081 eV/atom

[5]
LiHfNb2H8 | GGA-PBE | optimized geometry

```
LiHfNb2H8
1.0
4.593 0.000 0.000
0.000 4.593 0.000
-2.297 -2.297 4.487
Li Hf Nb H
1 1 2 8
direct
0.250 0.750 0.500
0.500 0.500 0.000
0.750 0.250 0.500
0.000 0.000 0.000
0.116 0.626 0.741
0.624 0.626 0.741
0.374 0.376 0.259
0.885 0.884 0.259
0.624 0.115 0.741
0.374 0.884 0.259
0.116 0.115 0.741
0.885 0.376 0.259
```

Calculated values
* raw total energy: -5.22 eV per atom
* SG: I-4m2

[6]
ZrAg4Mo | GGA-PBE | optimized geometry

```
ZrAg4Mo
1.0
0.000 3.837 3.837
3.837 0.000 3.837
3.837 3.837 0.000
Zr Ag Mo
1 4 1
direct
0.000 0.000 0.000
0.874 0.375 0.375
0.375 0.375 0.874
0.375 0.874 0.375
0.375 0.375 0.375
0.750 0.750 0.750
```

Calculated values
* raw total energy: -4.67 eV per atom
* SG: F-43m

[7]
MnPdBr6 | GGA-PBE | optimized geometry

```
MnPdBr6
1.0
-5.810 2.058 -3.355
-2.192 -4.338 4.576
2.682 5.673 2.276
Mn Pd Br
1 1 6
direct
0.000 0.000 0.000
0.500 0.500 0.500
0.745 0.591 0.893
0.745 0.893 0.591
0.255 0.107 0.409
0.255 0.409 0.107
0.799 0.198 0.198
0.201 0.802 0.802
```

Calculated values
* SG: C2/m
* E_form (uncorrected): -406 meV per atom

[8]
PrSm6Ho3Tm2 | GGA-PBE | optimized geometry

```
PrSm6Ho3Tm2
1.0
-0.469 4.501 -4.258
-2.808 -5.464 -0.936
-8.494 4.336 7.026
Pr Sm Ho Tm
1 6 3 2
direct
0.000 0.000 0.000
0.916 0.581 0.749
0.750 0.750 0.251
0.084 0.419 0.251
0.581 0.916 0.749
0.250 0.250 0.749
0.419 0.084 0.251
0.167 0.833 0.500
0.833 0.167 0.500
0.500 0.500 0.500
0.333 0.667 0.000
0.667 0.333 0.000
```

Calculated values
* raw total energy: -4.63 eV per atom
* SG: C2/m

[9]
MgCo2Sb | GGA-PBE | optimized geometry

```
MgCo2Sb
1.0
-0.184 -4.068 2.803
3.269 -0.155 3.705
-3.292 3.296 -1.657
Co Mg Sb
2 1 1
direct
0.000 0.000 0.000
0.750 0.250 0.500
0.500 0.500 0.000
0.250 0.750 0.500
```

Calculated values
* SG: I-4m2
* E_form (uncorrected): 91 meV per atom

[10]
Ac2Al3Ag2 | GGA-PBE | optimized geometry

```
Ac2Al3Ag2
1.0
-2.718 -0.163 3.910
1.513 -5.517 -2.081
5.260 2.659 3.767
Ac Al Ag
2 3 2
direct
0.845 0.691 0.223
0.155 0.309 0.777
0.500 0.000 0.000
0.591 0.182 0.415
0.409 0.818 0.585
0.850 0.700 0.726
0.150 0.300 0.274
```

Calculated values
* SG: C2/m
* distance to the lowest polymorph of the same formula: 0.000 eV/atom

[11]
ErTm2Pt | GGA-PBE | optimized geometry

```
ErTm2Pt
1.0
3.758 0.000 0.000
1.879 3.254 0.000
1.879 1.085 9.339
Tm Pt Er
2 1 1
direct
0.271 0.271 0.187
0.729 0.729 0.813
0.000 0.000 0.000
0.500 0.500 0.500
```

Calculated values
* SG: R-3m
* distance to the lowest polymorph of the same formula: 0.243 eV/atom

[12]
LaNb3Bi | GGA-PBE | optimized geometry

```
LaNb3Bi
1.0
5.249 0.000 0.000
0.000 5.249 0.000
0.000 0.000 5.249
Nb Bi La
3 1 1
direct
0.000 0.500 0.000
0.000 0.000 0.500
0.500 0.000 0.000
0.000 0.000 0.000
0.500 0.500 0.500
```

Calculated values
* SG: Pm-3m
* distance to the lowest polymorph of the same formula: 0.000 eV/atom